Entry from Alexandria: a relaxed SrSm2Cd2 crystal (PBE).

formation enthalpy at 0 K	-132	meV/atom

Cell: 3.928 21.629 3.794 Å, 90.00 90.00 90.00°
Space group Cmmm (No. 65)
Inequivalent atoms, fractional coordinates:
Sr 0.000 0.000 0.000 x2
Sm 0.000 0.181 0.000 x4
Cd 0.000 0.399 0.500 x4